# AgPOF2, relaxed, DFT PBE
# * formation energy from raw total energies: 84 meV/atom
# * relative energy among the computed polymorphs: 1.052 eV/atom
data_AgPOF2
_chemical_formula_sum 'Ag1 P1 O1 F2'
_cell_length_a 4.158
_cell_length_b 4.158
_cell_length_c 4.366
_cell_angle_alpha 90.00
_cell_angle_beta 90.00
_cell_angle_gamma 90.00
_symmetry_space_group_name_H-M 'P 4/m m m'
_symmetry_Int_Tables_number 123
_symmetry_space_group_name_Hall '-P 4 2'
loop_
_atom_site_label
_atom_site_fract_x
_atom_site_fract_y
_atom_site_fract_z
_atom_site_occupancy
Ag1 0.000 0.000 0.000 1
P1 0.500 0.500 0.500 1
O1 0.000 0.000 0.500 1
F1 0.000 0.500 0.000 1